No. 1
Computed, not measured: RbVBiSe3 after structural relaxation at the GGA-PBE level of DFT.

Unit cell a=9.919 b=3.990 c=10.074 alpha=90.00 beta=109.03 gamma=90.00
Space group P2_1/m (No. 11)
Inequivalent atoms, fractional coordinates:
Rb1 0.220 0.250 0.192 (multiplicity 2)
V1 0.421 0.750 0.934 (multiplicity 2)
Bi1 0.150 0.250 0.660 (multiplicity 2)
Se1 0.156 0.750 0.451 (multiplicity 2)
Se2 0.161 0.750 0.886 (multiplicity 2)
Se3 0.486 0.250 0.809 (multiplicity 2)

Total magnetic moment (μB/f.u.): 0.000
DFT total energy (eV per atom): -4.696
Calculated density (g/cm3): 5.13
D(E_F) (states/eV/cell): 6.88
Raw formation energy (eV/atom): -0.626
Crystal system: monoclinic

---

No. 2
Computed, not measured: Rb2YBiSe4 after structural relaxation at the GGA-PBE level of DFT.

Unit cell a=7.477 b=4.298 c=8.368 alpha=90.00 beta=107.11 gamma=90.00
Space group P2/m (No. 10)
Inequivalent atoms, fractional coordinates:
Rb1 0.000 0.000 0.000 (multiplicity 1)
Rb2 0.500 0.500 0.000 (multiplicity 1)
Y1 0.000 0.500 0.500 (multiplicity 1)
Bi1 0.500 0.000 0.500 (multiplicity 1)
Se1 0.226 0.000 0.697 (multiplicity 2)
Se2 0.259 0.500 0.300 (multiplicity 2)

Total magnetic moment (μB/f.u.): 0.000
DFT total energy (eV per atom): -4.545
Calculated density (g/cm3): 5.07
D(E_F) (states/eV/cell): 0.00
Raw formation energy (eV/atom): -1.268
Crystal system: monoclinic

---

No. 3
Computed, not measured: Rb3Y3BiSe8 after structural relaxation at the GGA-PBE level of DFT.

Unit cell a=14.537 b=8.390 c=9.504 alpha=90.00 beta=120.72 gamma=90.00
Space group C2/m (No. 12)
Inequivalent atoms, fractional coordinates:
Rb1 0.000 0.000 0.000 (multiplicity 2)
Rb2 0.250 0.250 0.000 (multiplicity 4)
Y1 0.000 0.500 0.500 (multiplicity 2)
Y2 0.250 0.250 0.500 (multiplicity 4)
Bi1 0.000 0.000 0.500 (multiplicity 2)
Se1 0.019 0.253 0.304 (multiplicity 8)
Se2 0.232 0.500 0.695 (multiplicity 4)
Se3 0.234 0.000 0.696 (multiplicity 4)

Total magnetic moment (μB/f.u.): 0.000
DFT total energy (eV per atom): -5.034
Calculated density (g/cm3): 4.55
D(E_F) (states/eV/cell): 13.54
Raw formation energy (eV/atom): -1.431
Crystal system: monoclinic

---

No. 4
Computed, not measured: Rb3YBi2Se6 after structural relaxation at the GGA-PBE level of DFT.

Unit cell a=7.494 b=12.977 c=8.385 alpha=90.00 beta=107.32 gamma=90.00
Space group C2/m (No. 12)
Inequivalent atoms, fractional coordinates:
Rb1 0.000 0.000 0.000 (multiplicity 2)
Rb2 0.000 0.330 0.000 (multiplicity 4)
Y1 0.000 0.500 0.500 (multiplicity 2)
Bi1 0.000 0.166 0.500 (multiplicity 4)
Se1 0.229 0.337 0.699 (multiplicity 8)
Se2 0.241 0.000 0.700 (multiplicity 4)

Total magnetic moment (μB/f.u.): 0.000
DFT total energy (eV per atom): -4.278
Calculated density (g/cm3): 5.28
D(E_F) (states/eV/cell): 0.00
Raw formation energy (eV/atom): -1.108
Crystal system: monoclinic

---

No. 5
Computed, not measured: Rb2Zn2BiSe4 after structural relaxation at the GGA-PBE level of DFT.

Unit cell a=17.619 b=4.170 c=7.925 alpha=90.00 beta=110.32 gamma=90.00
Space group C2/m (No. 12)
Inequivalent atoms, fractional coordinates:
Rb1 0.127 0.000 0.028 (multiplicity 4)
Zn1 0.177 0.500 0.481 (multiplicity 4)
Bi1 0.000 0.000 0.500 (multiplicity 2)
Se1 0.036 0.500 0.273 (multiplicity 4)
Se2 0.217 0.000 0.677 (multiplicity 4)

Total magnetic moment (μB/f.u.): 0.000
DFT total energy (eV per atom): -3.240
Calculated density (g/cm3): 5.03
D(E_F) (states/eV/cell): 4.90
Raw formation energy (eV/atom): -0.762
Crystal system: monoclinic

---

No. 6
Computed, not measured: RbZnBiSe3 after structural relaxation at the GGA-PBE level of DFT.

Unit cell a=9.714 b=4.228 c=10.007 alpha=90.00 beta=107.26 gamma=90.00
Space group P2_1/m (No. 11)
Inequivalent atoms, fractional coordinates:
Rb1 0.193 0.250 0.234 (multiplicity 2)
Zn1 0.084 0.250 0.606 (multiplicity 2)
Bi1 0.338 0.750 0.864 (multiplicity 2)
Se1 0.125 0.250 0.862 (multiplicity 2)
Se2 0.185 0.750 0.526 (multiplicity 2)
Se3 0.449 0.750 0.155 (multiplicity 2)

Total magnetic moment (μB/f.u.): 0.000
DFT total energy (eV per atom): -3.521
Calculated density (g/cm3): 5.05
D(E_F) (states/eV/cell): 0.00
Raw formation energy (eV/atom): -0.758
Crystal system: monoclinic

---

No. 7
Computed, not measured: Rb2ZrBiSe4 after structural relaxation at the GGA-PBE level of DFT.

Unit cell a=6.375 b=15.381 c=25.420 alpha=90.00 beta=90.00 gamma=90.00
Space group Fddd (No. 70, origin choice 2)
Inequivalent atoms, fractional coordinates:
Rb1 0.125 0.125 0.303 (multiplicity 16)
Zr1 0.125 0.125 0.125 (multiplicity 8)
Bi1 0.125 0.125 0.625 (multiplicity 8)
Se1 0.081 0.267 0.435 (multiplicity 32)

Total magnetic moment (μB/f.u.): 0.000
DFT total energy (eV per atom): -4.414
Calculated density (g/cm3): 4.19
D(E_F) (states/eV/cell): 34.11
Raw formation energy (eV/atom): -0.876
Crystal system: orthorhombic

---

No. 8
Computed, not measured: RbSiBi3 after structural relaxation at the GGA-PBE level of DFT.

Unit cell a=6.034 b=6.034 c=6.034 alpha=90.00 beta=90.00 gamma=90.00
Space group Pm-3m (No. 221)
Inequivalent atoms, fractional coordinates:
Rb1 0.000 0.000 0.000 (multiplicity 1)
Si1 0.500 0.500 0.500 (multiplicity 1)
Bi1 0.000 0.000 0.500 (multiplicity 3)

Total magnetic moment (μB/f.u.): 0.000
DFT total energy (eV per atom): -1.920
Calculated density (g/cm3): 5.60
D(E_F) (states/eV/cell): 4.27
Raw formation energy (eV/atom): 1.687
Crystal system: cubic

---

No. 9
Computed, not measured: RbSiBi3 after structural relaxation at the GGA-PBE level of DFT.

Unit cell a=5.639 b=5.639 c=5.639 alpha=90.00 beta=90.00 gamma=90.00
Space group Pm-3m (No. 221)
Inequivalent atoms, fractional coordinates:
Rb1 0.000 0.000 0.000 (multiplicity 1)
Si1 0.500 0.500 0.500 (multiplicity 1)
Bi1 0.000 0.500 0.500 (multiplicity 3)

Total magnetic moment (μB/f.u.): 0.000
DFT total energy (eV per atom): -3.330
Calculated density (g/cm3): 6.86
D(E_F) (states/eV/cell): 4.86
Raw formation energy (eV/atom): 0.276
Crystal system: cubic

---

No. 10
Computed, not measured: Rb2SiBi2 after structural relaxation at the GGA-PBE level of DFT.

Unit cell a=7.842 b=7.842 c=6.092 alpha=90.00 beta=90.00 gamma=90.00
Space group P4/mbm (No. 127)
Inequivalent atoms, fractional coordinates:
Rb1 0.172 0.328 0.000 (multiplicity 4)
Si1 0.000 0.000 0.500 (multiplicity 2)
Bi1 0.142 0.642 0.500 (multiplicity 4)

Total magnetic moment (μB/f.u.): 0.000
DFT total energy (eV per atom): -3.020
Calculated density (g/cm3): 5.47
D(E_F) (states/eV/cell): 5.95
Raw formation energy (eV/atom): 0.004
Crystal system: tetragonal

---

No. 11
Computed, not measured: RbSiSn2Bi after structural relaxation at the GGA-PBE level of DFT.

Unit cell a=5.293 b=5.293 c=6.039 alpha=90.00 beta=90.00 gamma=90.00
Space group P4/mmm (No. 123)
Inequivalent atoms, fractional coordinates:
Rb1 0.000 0.000 0.000 (multiplicity 1)
Si1 0.000 0.000 0.500 (multiplicity 1)
Sn1 0.000 0.500 0.500 (multiplicity 2)
Bi1 0.500 0.500 0.000 (multiplicity 1)

Total magnetic moment (μB/f.u.): 0.000
DFT total energy (eV per atom): -3.200
Calculated density (g/cm3): 5.50
D(E_F) (states/eV/cell): 3.16
Raw formation energy (eV/atom): 0.456
Crystal system: tetragonal

---

No. 12
Computed, not measured: RbSiBiTe4 after structural relaxation at the GGA-PBE level of DFT.

Unit cell a=7.276 b=7.727 c=10.178 alpha=90.00 beta=108.97 gamma=90.00
Space group P2_1/m (No. 11)
Inequivalent atoms, fractional coordinates:
Rb1 0.248 0.250 0.059 (multiplicity 2)
Si1 0.219 0.750 0.330 (multiplicity 2)
Bi1 0.228 0.250 0.543 (multiplicity 2)
Te1 0.016 0.504 0.714 (multiplicity 4)
Te2 0.422 0.750 0.173 (multiplicity 2)
Te3 0.437 0.750 0.579 (multiplicity 2)

Total magnetic moment (μB/f.u.): 0.000
DFT total energy (eV per atom): -3.623
Calculated density (g/cm3): 5.11
Raw formation energy (eV/atom): -0.360
Crystal system: monoclinic